No. 1
The following is a GGA-PBE calculation of SrTb3Cu after structural relaxation, from Alexandria via LeMat-Bulk.

## Properties
total magnetic moment	0.00	μB per cell
ΔH_f (0 K)	0.121	eV per atom
space group	Pm-3m

Unit cell a=5.5277 b=5.5277 c=5.5277 alpha=90.00 beta=90.00 gamma=90.00
Closest atoms and distances in Å follow each position.
Fractional positions:
Sr (0.5000, 0.5000, 0.5000)  12 Tb 3.91
Tb (0.0000, 0.5000, 0.0000)  2 Cu 2.76
Tb (0.0000, 0.0000, 0.5000)  2 Cu 2.76
Tb (0.5000, 0.0000, 0.0000)  2 Cu 2.76
Cu (0.0000, 0.0000, 0.0000)  6 Tb 2.76


No. 2
The following is a GGA-PBE calculation of TlInCu2Te4 after structural relaxation, from Alexandria via LeMat-Bulk.

## Properties
total magnetic moment	0.00	μB per cell
formation energy (no corrections)	-197	meV per atom
space group	I-42m

Unit cell a=6.3644 b=7.7497 c=7.7497 alpha=48.48 beta=65.76 gamma=65.76
Closest atoms and distances in Å follow each position.
Fractional positions:
Tl (0.0000, 0.0000, 0.0000)  4 Te 2.94
In (0.5000, 0.5000, 0.5000)  4 Te 2.86
Cu (0.2500, 0.2500, 0.2500)  4 Te 2.61
Cu (0.7500, 0.7500, 0.7500)  4 Te 2.61
Te (0.4007, 0.1109, 0.5993)  2 Cu 2.61, 1 In 2.86
Te (0.1109, 0.8891, 0.4007)  2 Cu 2.61, 1 In 2.86
Te (0.8891, 0.5993, 0.1109)  2 Cu 2.61, 1 In 2.86
Te (0.5993, 0.4007, 0.8891)  2 Cu 2.61, 1 In 2.86


No. 3
The following is a GGA-PBE calculation of LiNdBi after structural relaxation, from Alexandria via LeMat-Bulk.

## Properties
total magnetic moment	0.29	μB per cell
ΔH_f (0 K)	-0.393	eV per atom
energy above the most stable polymorph in this dataset	0.318	eV per atom
space group	I4mm

Unit cell a=4.3202 b=4.3202 c=5.5027 alpha=113.11 beta=113.11 gamma=90.00
Closest atoms and distances in Å follow each position.
Fractional positions:
Nd (0.9468, 0.9468, 0.8935)  5 Li 3.10-3.39, 5 Bi 3.19-3.35
Bi (0.2955, 0.2955, 0.5909)  1 Li 2.86, 1 Nd 3.19
Li (0.6078, 0.6078, 0.2155)  1 Bi 2.86, 1 Nd 3.10


No. 4
The following is a GGA-PBE calculation of LiCu2Cl after structural relaxation, from Alexandria via LeMat-Bulk.

## Properties
total magnetic moment	0.00	μB per cell
energy above the most stable polymorph in this dataset	0.037	eV per atom
formation energy (no corrections)	-411	meV per atom
space group	P4mm

Unit cell a=3.2403 b=3.2396 c=6.6342 alpha=90.00 beta=90.00 gamma=90.00
Closest atoms and distances in Å follow each position.
Fractional positions:
Cl (0.5000, 0.5000, 0.6192)  4 Li 2.37, 1 Cu 2.49
Cu (0.0000, 0.0000, 0.1106)  4 Cu 2.46
Cu (0.5000, 0.5000, 0.2437)  4 Cu 2.46, 1 Cl 2.49
Li (0.0000, 0.0000, 0.5265)  4 Cl 2.37


No. 5
The following is a GGA-PBE calculation of PrYBi2 after structural relaxation, from Alexandria via LeMat-Bulk.

## Properties
total magnetic moment	0.00	μB per cell
ΔH_f (0 K)	-0.926	eV per atom
energy above the most stable polymorph in this dataset	0.000	eV per atom
space group	C2/m

Unit cell a=4.5661 b=4.5661 c=7.8948 alpha=73.12 beta=73.12 gamma=60.08
Closest atoms and distances in Å follow each position.
Fractional positions:
Pr (0.5000, 0.5000, 0.5000)  6 Bi 3.27
Y (0.0000, 0.0000, 0.0000)  6 Bi 3.18-3.19
Bi (0.7466, 0.7466, 0.7600)  3 Y 3.18-3.19, 3 Pr 3.27
Bi (0.2534, 0.2534, 0.2400)  3 Y 3.18-3.19, 3 Pr 3.27


No. 6
The following is a GGA-PBE calculation of CeTlHgRh after structural relaxation, from Alexandria via LeMat-Bulk.

## Properties
total magnetic moment	0.39	μB per cell
ΔH_f (0 K)	-0.231	eV per atom
space group	F-43m

Unit cell a=5.0401 b=5.0401 c=5.0401 alpha=60.00 beta=60.00 gamma=60.00
Closest atoms and distances in Å follow each position.
Fractional positions:
Tl (0.7500, 0.7500, 0.7500)  4 Hg 3.09, 4 Rh 3.09
Rh (0.0000, 0.0000, 0.0000)  4 Ce 3.09, 4 Tl 3.09
Hg (0.5000, 0.5000, 0.5000)  4 Tl 3.09, 4 Ce 3.09
Ce (0.2500, 0.2500, 0.2500)  4 Hg 3.09, 4 Rh 3.09


No. 7
The following is a GGA-PBE calculation of Pt after structural relaxation, from Alexandria via LeMat-Bulk.

## Properties
total magnetic moment	0.00	μB per cell
ΔH_f (0 K)	0.244	eV per atom
energy above the most stable polymorph in this dataset	0.244	eV per atom
space group	Fddd

Unit cell a=2.6999 b=14.5419 c=13.9798 alpha=90.00 beta=90.00 gamma=90.00
Closest atoms and distances in Å follow each position.
Fractional positions:
Pt (0.0000, 0.4079, 0.0000)  7 Pt 2.65-2.70
Pt (0.0000, 0.5921, 0.0000)  7 Pt 2.65-2.70
Pt (0.2500, 0.3421, 0.2500)  7 Pt 2.65-2.70
Pt (0.2500, 0.1579, 0.2500)  7 Pt 2.65-2.70
Pt (0.0000, 0.9079, 0.5000)  7 Pt 2.65-2.70
Pt (0.0000, 0.0921, 0.5000)  7 Pt 2.65-2.70
Pt (0.2500, 0.8421, 0.7500)  7 Pt 2.65-2.70
Pt (0.2500, 0.6579, 0.7500)  7 Pt 2.65-2.70
Pt (0.5000, 0.4079, 0.5000)  7 Pt 2.65-2.70
Pt (0.5000, 0.5921, 0.5000)  7 Pt 2.65-2.70
Pt (0.7500, 0.3421, 0.7500)  7 Pt 2.65-2.70
Pt (0.7500, 0.1579, 0.7500)  7 Pt 2.65-2.70
Pt (0.5000, 0.9079, 0.0000)  7 Pt 2.65-2.70
Pt (0.5000, 0.0921, 0.0000)  7 Pt 2.65-2.70
Pt (0.7500, 0.8421, 0.2500)  7 Pt 2.65-2.70
Pt (0.7500, 0.6579, 0.2500)  7 Pt 2.65-2.70
Pt (0.0000, 0.0000, 0.3366)  8 Pt 2.65-2.77
Pt (0.0000, 0.0000, 0.6634)  8 Pt 2.65-2.77
Pt (0.2500, 0.7500, 0.9134)  8 Pt 2.65-2.77
Pt (0.2500, 0.7500, 0.5866)  8 Pt 2.65-2.77
Pt (0.0000, 0.5000, 0.8366)  8 Pt 2.65-2.77
Pt (0.0000, 0.5000, 0.1634)  8 Pt 2.65-2.77
Pt (0.2500, 0.2500, 0.4134)  8 Pt 2.65-2.77
Pt (0.2500, 0.2500, 0.0866)  8 Pt 2.65-2.77
Pt (0.5000, 0.0000, 0.8366)  8 Pt 2.65-2.77
Pt (0.5000, 0.0000, 0.1634)  8 Pt 2.65-2.77
Pt (0.7500, 0.7500, 0.4134)  8 Pt 2.65-2.77
Pt (0.7500, 0.7500, 0.0866)  8 Pt 2.65-2.77
Pt (0.5000, 0.5000, 0.3366)  8 Pt 2.65-2.77
Pt (0.5000, 0.5000, 0.6634)  8 Pt 2.65-2.77
Pt (0.7500, 0.2500, 0.9134)  8 Pt 2.65-2.77
Pt (0.7500, 0.2500, 0.5866)  8 Pt 2.65-2.77


No. 8
The following is a GGA-PBE calculation of PSeN3 after structural relaxation, from Alexandria via LeMat-Bulk.

## Properties
total magnetic moment	0.00	μB per cell
formation energy (no corrections)	2226	meV per atom
space group	Pm-3m

Unit cell a=3.7328 b=3.7328 c=3.7328 alpha=90.00 beta=90.00 gamma=90.00
Closest atoms and distances in Å follow each position.
Fractional positions:
P (0.5000, 0.5000, 0.5000)  12 N 2.64
Se (0.0000, 0.0000, 0.0000)  6 N 1.87
N (0.0000, 0.5000, 0.0000)  2 Se 1.87
N (0.0000, 0.0000, 0.5000)  2 Se 1.87
N (0.5000, 0.0000, 0.0000)  2 Se 1.87


No. 9
The following is a GGA-PBE calculation of Pt6Rh2Au after structural relaxation, from Alexandria via LeMat-Bulk.

## Properties
total magnetic moment	0.00	μB per cell
ΔH_f (0 K)	0.231	eV per atom
space group	P2_1/c

Unit cell a=5.9484 b=5.1487 c=10.6514 alpha=113.74 beta=90.00 gamma=90.00
Closest atoms and distances in Å follow each position.
Fractional positions:
Pt (0.9070, 0.1158, 0.7760)  3 Rh 2.62-2.82, 3 Pt 2.65-2.74, 1 Au 2.81
Pt (0.4166, 0.1310, 0.4190)  6 Pt 2.68-2.97, 2 Rh 2.74-2.84, 1 Au 2.79
Pt (0.3114, 0.1023, 0.0720)  3 Rh 2.57-2.65, 4 Pt 2.65-2.70, 1 Au 2.70
Pt (0.8114, 0.3977, 0.4280)  3 Rh 2.57-2.65, 4 Pt 2.65-2.70, 1 Au 2.70
Pt (0.9166, 0.3690, 0.0810)  6 Pt 2.68-2.97, 2 Rh 2.74-2.84, 1 Au 2.79
Pt (0.4070, 0.3842, 0.7240)  3 Rh 2.62-2.82, 3 Pt 2.65-2.74, 1 Au 2.81
Pt (0.0930, 0.8842, 0.2240)  3 Rh 2.62-2.82, 3 Pt 2.65-2.74, 1 Au 2.81
Pt (0.5834, 0.8690, 0.5810)  6 Pt 2.68-2.97, 2 Rh 2.74-2.84, 1 Au 2.79
Pt (0.6886, 0.8977, 0.9280)  3 Rh 2.57-2.65, 4 Pt 2.65-2.70, 1 Au 2.70
Pt (0.1886, 0.6023, 0.5720)  3 Rh 2.57-2.65, 4 Pt 2.65-2.70, 1 Au 2.70
Pt (0.0834, 0.6310, 0.9190)  6 Pt 2.68-2.97, 2 Rh 2.74-2.84, 1 Au 2.79
Pt (0.5930, 0.6158, 0.2760)  3 Rh 2.62-2.82, 3 Pt 2.65-2.74, 1 Au 2.81
Rh (0.6814, 0.0328, 0.1934)  8 Pt 2.57-2.84
Rh (0.1814, 0.4672, 0.3066)  8 Pt 2.57-2.84
Rh (0.8186, 0.5328, 0.6934)  8 Pt 2.57-2.84
Rh (0.3186, 0.9672, 0.8066)  8 Pt 2.57-2.84
Au (0.5000, 0.5000, 0.0000)  6 Pt 2.70-2.81, 2 Rh 2.90
Au (0.0000, 0.0000, 0.5000)  6 Pt 2.70-2.81, 2 Rh 2.90


No. 10
The following is a GGA-PBE calculation of Tb8GaAg2 after structural relaxation, from Alexandria via LeMat-Bulk.

## Properties
total magnetic moment	0.00	μB per cell
ΔH_f (0 K)	-0.194	eV per atom
space group	C2/m

Unit cell a=5.1986 b=6.9413 c=9.2971 alpha=106.48 beta=106.24 gamma=90.00
Closest atoms and distances in Å follow each position.
Fractional positions:
Tb (0.4078, 0.5430, 0.8156)  1 Ga 3.11, 2 Ag 3.31, 3 Tb 3.45-3.47
Tb (0.6673, 0.9790, 0.3346)  3 Ag 2.88-3.22, 1 Ga 3.03
Tb (0.8028, 0.6855, 0.6057)  1 Ag 2.90
Tb (0.9734, 0.2201, 0.9469)  1 Ag 2.93, 2 Ga 3.12
Tb (0.1972, 0.3145, 0.3943)  1 Ag 2.90
Tb (0.3327, 0.0210, 0.6654)  3 Ag 2.88-3.22, 1 Ga 3.03
Tb (0.5922, 0.4570, 0.1844)  1 Ga 3.11, 2 Ag 3.31, 3 Tb 3.45-3.47
Tb (0.0266, 0.7799, 0.0531)  1 Ag 2.93, 2 Ga 3.12
Ga (0.5000, 0.0000, 0.0000)  8 Tb 3.03-3.12
Ag (0.8180, 0.2803, 0.6360)  5 Tb 2.88-3.22
Ag (0.1820, 0.7197, 0.3640)  5 Tb 2.88-3.22


No. 11
The following is a GGA-PBE calculation of Tb5AlCd2 after structural relaxation, from Alexandria via LeMat-Bulk.

## Properties
total magnetic moment	0.00	μB per cell
ΔH_f (0 K)	-0.188	eV per atom
energy above the most stable polymorph in this dataset	0.048	eV per atom
space group	I4/mcm

Unit cell a=7.7418 b=7.7418 c=9.3381 alpha=114.49 beta=114.49 gamma=90.00
Closest atoms and distances in Å follow each position.
Fractional positions:
Tb (0.5084, 0.6780, 0.6864)  2 Al 3.22, 3 Cd 3.27-3.30, 1 Tb 3.38
Tb (0.8220, 0.9916, 0.3136)  2 Al 3.22, 3 Cd 3.27-3.30, 1 Tb 3.38
Tb (0.0000, 0.0000, 0.0000)  4 Cd 3.04
Tb (0.5000, 0.5000, 0.0000)  4 Cd 3.04
Tb (0.1780, 0.0084, 0.6864)  2 Al 3.22, 3 Cd 3.27-3.30, 1 Tb 3.38
Tb (0.6780, 0.1780, 0.6864)  2 Al 3.22, 3 Cd 3.27-3.30, 1 Tb 3.38
Tb (0.0084, 0.5084, 0.6864)  2 Al 3.22, 3 Cd 3.27-3.30, 1 Tb 3.38
Tb (0.3220, 0.8220, 0.3136)  2 Al 3.22, 3 Cd 3.27-3.30, 1 Tb 3.38
Tb (0.9916, 0.4916, 0.3136)  2 Al 3.22, 3 Cd 3.27-3.30, 1 Tb 3.38
Tb (0.4916, 0.3220, 0.3136)  2 Al 3.22, 3 Cd 3.27-3.30, 1 Tb 3.38
Al (0.7500, 0.7500, 0.5000)  8 Tb 3.22
Al (0.2500, 0.2500, 0.5000)  8 Tb 3.22
Cd (0.1287, 0.3713, 0.0000)  1 Cd 2.82, 2 Tb 3.04
Cd (0.6287, 0.1287, 0.0000)  1 Cd 2.82, 2 Tb 3.04
Cd (0.3713, 0.8713, 0.0000)  1 Cd 2.82, 2 Tb 3.04
Cd (0.8713, 0.6287, 0.0000)  1 Cd 2.82, 2 Tb 3.04